Record 1
DFT (PBE) results for BeFeAs2 after structural relaxation.

Cell lengths 2.902, 2.902, 6.434 Å; angles 90.00, 90.00, 90.00 degrees
Each line ends with the local moment (μB).
Element x y z (fractional)
Be 0.500 0.500 0.250  0.00
As 0.000 0.000 0.985  -0.03
As 0.000 0.000 0.515  -0.03
Fe 0.500 0.500 0.750  0.93

Computed properties:
* space-group type: P4/mmm
* energy above the lowest structure with this stoichiometry: 321 meV/atom
* formation enthalpy at 0 K: 309 meV per atom
* final energy: -20.3 eV/cell

=====

Record 2
DFT (PBE) results for Mn2GeN after structural relaxation.

Cell lengths 2.788, 2.788, 6.079 Å; angles 90.00, 90.00, 90.00 degrees
Each line ends with the local moment (μB).
Element x y z (fractional)
Ge 0.000 0.000 0.283  0.06
Mn 0.500 0.500 0.521  -1.50
Mn 0.500 0.500 0.877  2.27
N 0.000 0.000 0.961  -0.03

Computed properties:
* space-group type: P4mm
* final energy: -30.5 eV/cell
* ΔE_f (raw): 183.8 meV per atom

=====

Record 3
DFT (PBE) results for Li2BrCl after structural relaxation.

Cell lengths 3.553, 4.512, 6.765 Å; angles 103.66, 90.00, 90.00 degrees
Element x y z (fractional)
Br 0.500 0.250 0.250
Cl 0.500 0.750 0.750
Li 0.000 0.973 0.990
Li 0.000 0.527 0.510

Computed properties:
* space-group type: P2/m
* energy above the lowest structure with this stoichiometry: 126 meV/atom
* final energy: -13.6 eV/cell
* ΔE_f (raw): -1555.5 meV per atom

=====

Record 4
DFT (PBE) results for Pr4AuS3 after structural relaxation.

Cell lengths 5.923, 5.923, 7.231 Å; angles 114.18, 114.18, 90.00 degrees
Element x y z (fractional)
Pr 0.000 0.500 0.000
Pr 0.500 0.000 0.000
Pr 0.259 0.259 0.519
Pr 0.741 0.741 0.481
S 0.500 0.500 0.000
S 0.750 0.250 0.500
S 0.250 0.750 0.500
Au 0.000 0.000 0.000

Computed properties:
* space-group type: I4/mmm
* final energy: -48.2 eV/cell
* ΔE_f (raw): -1677.7 meV per atom

=====

Record 5
DFT (PBE) results for Ca2LaPt3 after structural relaxation.

Cell lengths 5.037, 7.958, 7.096 Å; angles 90.00, 90.01, 71.55 degrees
Element x y z (fractional)
Ca 0.000 0.000 0.000
Ca 0.000 0.000 0.500
Ca 0.333 0.333 0.500
Ca 0.667 0.667 0.500
La 0.338 0.324 0.000
La 0.662 0.676 0.000
Pt 0.831 0.338 0.753
Pt 0.500 0.000 0.254
Pt 0.169 0.662 0.247
Pt 0.831 0.338 0.247
Pt 0.169 0.662 0.753
Pt 0.500 0.000 0.746

Computed properties:
* space-group type: Cmmm
* formation enthalpy at 0 K: -992 meV per atom
* final energy: -66.0 eV/cell

=====

Record 6
DFT (PBE) results for Zr6Al2S after structural relaxation.

Cell lengths 5.826, 7.301, 8.954 Å; angles 90.00, 89.92, 90.00 degrees
Element x y z (fractional)
Zr 0.882 0.975 0.224
Zr 0.856 0.677 0.551
Zr 0.865 0.679 0.951
Zr 0.635 0.179 0.549
Zr 0.644 0.177 0.949
Zr 0.618 0.475 0.276
Zr 0.118 0.025 0.776
Zr 0.144 0.323 0.449
Zr 0.135 0.321 0.049
Zr 0.365 0.821 0.451
Zr 0.356 0.823 0.051
Zr 0.382 0.525 0.724
Al 0.920 0.383 0.748
Al 0.580 0.883 0.752
Al 0.420 0.117 0.248
Al 0.080 0.617 0.252
S 0.500 0.500 0.000
S 0.000 0.000 0.500

Computed properties:
* space-group type: P2_1/c
* final energy: -135.2 eV/cell
* ΔE_f (raw): -522.9 meV per atom

=====

Record 7
DFT (PBE) results for AsIrOs2 after structural relaxation.

Cell lengths 4.828, 4.828, 4.565 Å; angles 87.69, 87.69, 34.31 degrees
Element x y z (fractional)
As 0.499 0.499 0.503
Ir 0.272 0.272 0.245
Os 0.001 0.001 0.983
Os 0.727 0.727 0.769

Computed properties:
* space-group type: Cm
* formation enthalpy at 0 K: 325 meV per atom
* final energy: -34.7 eV/cell

=====

Record 8
DFT (PBE) results for Te2PtPbN after structural relaxation.

Cell lengths 5.823, 5.823, 4.092 Å; angles 90.00, 90.00, 90.00 degrees
Each line ends with the local moment (μB).
Element x y z (fractional)
Pb 0.000 0.000 0.000  -0.03
Te 0.000 0.500 0.000  0.11
Te 0.500 0.000 0.000  0.11
Pt 0.500 0.500 0.500  0.06
N 0.000 0.000 0.500  0.62

Computed properties:
* space-group type: P4/mmm
* energy above the lowest structure with this stoichiometry: 1249 meV/atom
* final energy: -16.8 eV/cell
* ΔE_f (raw): 1515.8 meV per atom

=====

What is the final energy in the fourth record? -48.2 eV/cell

=====

Which formula does entry 7 have? AsIrOs2

=====

Which value of final energy does entry 5 give? -66.0 eV/cell